# 1
The following is a PBE calculation of a geometry-optimized AgTe2S3 structure, from the Alexandria database.

a = 8.0172 Å, b = 3.9713 Å, c = 8.7078 Å
α = 90.00°, β = 90.00°, γ = 90.00°
Element x y z (fractional)
Ag (0.2500, 0.0000, 0.1673)
Ag (0.7500, 0.0000, 0.8327)
Te (0.0000, 0.5000, 0.5000)
Te (0.2500, 0.0000, 0.8456)
Te (0.5000, 0.5000, 0.5000)
Te (0.7500, 0.0000, 0.1544)
S (0.0185, 0.5000, 0.8147)
S (0.2500, 0.0000, 0.4658)
S (0.4815, 0.5000, 0.8147)
S (0.5185, 0.5000, 0.1853)
S (0.7500, 0.0000, 0.5342)
S (0.9815, 0.5000, 0.1853)

Values from the calculation:
N(E_F): 4.9 states/eV/cell
Final energy: -3.49 eV per atom

---

# 2
The following is a PBE calculation of a geometry-optimized Ag3Te4S8 structure, from the Alexandria database.

a = 7.7631 Å, b = 7.7631 Å, c = 7.8206 Å
α = 118.67°, β = 118.67°, γ = 89.98°
Element x y z (fractional)
Ag (0.0000, 0.0000, 0.0000)
Ag (0.0000, 0.5000, 0.0000)
Ag (0.5000, 0.0000, 0.0000)
Te (0.0000, 0.0000, 0.5000)
Te (0.0000, 0.5000, 0.5000)
Te (0.5000, 0.0000, 0.5000)
Te (0.5000, 0.5000, 0.0000)
S (0.2184, 0.2184, 0.4451)
S (0.2419, 0.2419, 0.9659)
S (0.2463, 0.7537, 0.5000)
S (0.2574, 0.7426, 0.0000)
S (0.7426, 0.2574, 0.0000)
S (0.7537, 0.2463, 0.5000)
S (0.7581, 0.7581, 0.0341)
S (0.7816, 0.7816, 0.5549)

Values from the calculation:
N(E_F): 6.6 states/eV/cell
Final energy: -3.50 eV per atom

---

# 3
The following is a PBE calculation of a geometry-optimized Ag3Te2S8 structure, from the Alexandria database.

a = 7.6253 Å, b = 7.6253 Å, c = 7.0177 Å
α = 105.75°, β = 105.75°, γ = 89.70°
Element x y z (fractional)
Ag (0.0000, 0.0000, 0.0000)
Ag (0.1574, 0.8426, 0.5000)
Ag (0.8426, 0.1574, 0.5000)
Te (0.3700, 0.3700, 0.0310)
Te (0.6300, 0.6300, 0.9690)
S (0.0876, 0.5848, 0.6201)
S (0.1277, 0.1277, 0.7869)
S (0.4152, 0.9124, 0.3799)
S (0.4352, 0.4352, 0.5685)
S (0.5648, 0.5648, 0.4315)
S (0.5848, 0.0876, 0.6201)
S (0.8723, 0.8723, 0.2131)
S (0.9124, 0.4152, 0.3799)

Values from the calculation:
N(E_F): 8.3 states/eV/cell
Final energy: -3.46 eV per atom

---

# 4
The following is a PBE calculation of a geometry-optimized AgTeS2 structure, from the Alexandria database.

a = 7.5803 Å, b = 7.5803 Å, c = 7.5803 Å
α = 33.32°, β = 33.32°, γ = 33.32°
Element x y z (fractional)
Ag (0.0000, 0.0000, 0.0000)
Te (0.5000, 0.5000, 0.5000)
S (0.1100, 0.1100, 0.1100)
S (0.8900, 0.8900, 0.8900)

Values from the calculation:
N(E_F): 1.6 states/eV/cell
Final energy: -3.38 eV per atom

---

# 5
The following is a PBE calculation of a geometry-optimized Ag3Te5S12 structure, from the Alexandria database.

a = 14.3694 Å, b = 14.3694 Å, c = 14.3694 Å
α = 109.47°, β = 109.47°, γ = 109.47°
Element x y z (fractional)
Ag (0.1250, 0.2500, 0.3750)
Ag (0.1250, 0.3750, 0.7500)
Ag (0.2500, 0.3750, 0.1250)
Ag (0.2500, 0.8750, 0.6250)
Ag (0.3750, 0.1250, 0.2500)
Ag (0.3750, 0.7500, 0.1250)
Ag (0.6250, 0.2500, 0.8750)
Ag (0.6250, 0.8750, 0.7500)
Ag (0.7500, 0.1250, 0.3750)
Ag (0.7500, 0.6250, 0.8750)
Ag (0.8750, 0.6250, 0.2500)
Ag (0.8750, 0.7500, 0.6250)
Te (0.0000, 0.0000, 0.0000)
Te (0.0000, 0.0000, 0.5000)
Te (0.0000, 0.5000, 0.0000)
Te (0.0000, 0.5000, 0.5000)
Te (0.1250, 0.7500, 0.8750)
Te (0.1250, 0.8750, 0.2500)
Te (0.2500, 0.1250, 0.8750)
Te (0.2500, 0.6250, 0.3750)
Te (0.3750, 0.2500, 0.6250)
Te (0.3750, 0.6250, 0.7500)
Te (0.5000, 0.0000, 0.0000)
Te (0.5000, 0.0000, 0.5000)
Te (0.5000, 0.5000, 0.0000)
Te (0.5000, 0.5000, 0.5000)
Te (0.6250, 0.3750, 0.2500)
Te (0.6250, 0.7500, 0.3750)
Te (0.7500, 0.3750, 0.6250)
Te (0.7500, 0.8750, 0.1250)
Te (0.8750, 0.1250, 0.7500)
Te (0.8750, 0.2500, 0.1250)
S (0.0183, 0.6772, 0.6586)
S (0.0183, 0.8411, 0.3597)
S (0.0186, 0.1772, 0.1589)
S (0.0186, 0.3414, 0.8597)
S (0.1403, 0.6589, 0.4817)
S (0.1403, 0.9814, 0.6586)
S (0.1589, 0.0186, 0.1772)
S (0.1586, 0.1772, 0.5183)
S (0.1586, 0.4814, 0.6403)
S (0.1589, 0.6403, 0.9817)
S (0.1772, 0.1589, 0.0186)
S (0.1772, 0.5183, 0.1586)
S (0.3228, 0.3414, 0.9817)
S (0.3228, 0.4814, 0.3411)
S (0.3411, 0.3228, 0.4814)
S (0.3411, 0.5183, 0.8597)
S (0.3414, 0.8597, 0.0186)
S (0.3414, 0.9817, 0.3228)
S (0.3597, 0.0183, 0.8411)
S (0.3597, 0.8414, 0.5186)
S (0.4814, 0.3411, 0.3228)
S (0.4814, 0.6403, 0.1586)
S (0.4817, 0.1403, 0.6589)
S (0.4817, 0.8414, 0.8228)
S (0.5183, 0.1586, 0.1772)
S (0.5183, 0.8597, 0.3411)
S (0.5186, 0.3597, 0.8414)
S (0.5186, 0.6589, 0.6772)
S (0.6403, 0.1586, 0.4814)
S (0.6403, 0.9817, 0.1589)
S (0.6586, 0.0183, 0.6772)
S (0.6586, 0.1403, 0.9814)
S (0.6589, 0.4817, 0.1403)
S (0.6589, 0.6772, 0.5186)
S (0.6772, 0.5186, 0.6589)
S (0.6772, 0.6586, 0.0183)
S (0.8228, 0.4817, 0.8414)
S (0.8228, 0.8411, 0.9814)
S (0.8411, 0.3597, 0.0183)
S (0.8414, 0.5186, 0.3597)
S (0.8414, 0.8228, 0.4817)
S (0.8411, 0.9814, 0.8228)
S (0.8597, 0.0186, 0.3414)
S (0.8597, 0.3411, 0.5183)
S (0.9814, 0.6586, 0.1403)
S (0.9814, 0.8228, 0.8411)
S (0.9817, 0.1589, 0.6403)
S (0.9817, 0.3228, 0.3414)

Values from the calculation:
N(E_F): 26.4 states/eV/cell
Final energy: -3.43 eV per atom

---

# 6
The following is a PBE calculation of a geometry-optimized Ag3TeS structure, from the Alexandria database.

a = 5.9306 Å, b = 6.8936 Å, c = 7.1660 Å
α = 62.18°, β = 70.01°, γ = 68.44°
Element x y z (fractional)
Ag (0.0695, 0.2433, 0.1293)
Ag (0.1239, 0.1794, 0.5977)
Ag (0.3824, 0.8624, 0.9694)
Ag (0.6176, 0.1376, 0.0306)
Ag (0.8761, 0.8206, 0.4023)
Ag (0.9305, 0.7567, 0.8707)
Te (0.3629, 0.8598, 0.4116)
Te (0.6371, 0.1402, 0.5884)
S (0.1281, 0.5863, 0.1867)
S (0.8719, 0.4137, 0.8133)

Values from the calculation:
N(E_F): 3.1 states/eV/cell
Energy above the most stable polymorph in this dataset: 0.0 meV per atom
Final energy: -3.16 eV per atom

---

# 7
The following is a PBE calculation of a geometry-optimized AgTe3S6 structure, from the Alexandria database.

a = 8.6359 Å, b = 8.6359 Å, c = 7.5729 Å
α = 90.00°, β = 90.00°, γ = 107.74°
Element x y z (fractional)
Ag (0.1927, 0.8073, 0.5000)
Ag (0.8073, 0.1927, 0.0000)
Te (0.0875, 0.2682, 0.5747)
Te (0.2682, 0.0875, 0.0747)
Te (0.4134, 0.5866, 0.8006)
Te (0.5866, 0.4134, 0.3006)
Te (0.7318, 0.9125, 0.5747)
Te (0.9125, 0.7318, 0.0747)
S (0.0343, 0.9657, 0.6680)
S (0.1179, 0.5489, 0.7020)
S (0.2127, 0.7873, 0.1706)
S (0.2984, 0.3720, 0.1869)
S (0.3720, 0.2984, 0.6869)
S (0.4511, 0.8821, 0.7020)
S (0.5489, 0.1179, 0.2020)
S (0.6280, 0.7016, 0.1869)
S (0.7016, 0.6280, 0.6869)
S (0.7873, 0.2127, 0.6706)
S (0.8821, 0.4511, 0.2020)
S (0.9657, 0.0343, 0.1680)

Values from the calculation:
N(E_F): 4.7 states/eV/cell
Final energy: -3.57 eV per atom

---

# 8
The following is a PBE calculation of a geometry-optimized Ag12Te6S structure, from the Alexandria database.

a = 7.9595 Å, b = 7.9595 Å, c = 7.9595 Å
α = 103.70°, β = 103.70°, γ = 103.70°
Element x y z (fractional)
Ag (0.0532, 0.3416, 0.0655)
Ag (0.0655, 0.0532, 0.3416)
Ag (0.2283, 0.4774, 0.4480)
Ag (0.3416, 0.0655, 0.0532)
Ag (0.4480, 0.2283, 0.4774)
Ag (0.4774, 0.4480, 0.2283)
Ag (0.5226, 0.5520, 0.7717)
Ag (0.5520, 0.7717, 0.5226)
Ag (0.6584, 0.9345, 0.9468)
Ag (0.7717, 0.5226, 0.5520)
Ag (0.9345, 0.9468, 0.6584)
Ag (0.9468, 0.6584, 0.9345)
Te (0.0752, 0.4076, 0.7279)
Te (0.2721, 0.9248, 0.5924)
Te (0.4076, 0.7279, 0.0752)
Te (0.5924, 0.2721, 0.9248)
Te (0.7279, 0.0752, 0.4076)
Te (0.9248, 0.5924, 0.2721)
S (0.0000, 0.0000, 0.0000)

Values from the calculation:
N(E_F): 4.5 states/eV/cell
Final energy: -2.97 eV per atom

---

# 9
The following is a PBE calculation of a geometry-optimized Ag6Te3S structure, from the Alexandria database.

a = 6.4782 Å, b = 8.1628 Å, c = 9.8763 Å
α = 90.00°, β = 115.37°, γ = 90.00°
Element x y z (fractional)
Ag (0.1036, 0.1464, 0.4732)
Ag (0.1036, 0.3536, 0.9732)
Ag (0.1350, 0.6647, 0.8200)
Ag (0.1350, 0.8353, 0.3200)
Ag (0.3441, 0.1717, 0.2572)
Ag (0.3441, 0.3283, 0.7572)
Ag (0.6559, 0.6717, 0.2428)
Ag (0.6559, 0.8283, 0.7428)
Ag (0.8650, 0.1647, 0.6800)
Ag (0.8650, 0.3353, 0.1800)
Ag (0.8964, 0.6464, 0.0268)
Ag (0.8964, 0.8536, 0.5268)
Te (0.0000, 0.0000, 0.0000)
Te (0.0000, 0.5000, 0.5000)
Te (0.2862, 0.5163, 0.2980)
Te (0.2862, 0.9837, 0.7980)
Te (0.7138, 0.0163, 0.2020)
Te (0.7138, 0.4837, 0.7020)
S (0.5000, 0.0000, 0.5000)
S (0.5000, 0.5000, 0.0000)

Values from the calculation:
N(E_F): 2.9 states/eV/cell
Final energy: -3.04 eV per atom

---

# 10
The following is a PBE calculation of a geometry-optimized AgTe2S4 structure, from the Alexandria database.

a = 7.3177 Å, b = 11.3972 Å, c = 3.9281 Å
α = 90.00°, β = 90.00°, γ = 90.00°
Element x y z (fractional)
Ag (0.0000, 0.0000, 0.0000)
Ag (0.5000, 0.5000, 0.0000)
Te (0.0676, 0.3386, 0.5000)
Te (0.4324, 0.8386, 0.5000)
Te (0.5676, 0.1614, 0.5000)
Te (0.9324, 0.6614, 0.5000)
S (0.1335, 0.7989, 0.0000)
S (0.2184, 0.5423, 0.5000)
S (0.2816, 0.0423, 0.5000)
S (0.3665, 0.2989, 0.0000)
S (0.6335, 0.7011, 0.0000)
S (0.7184, 0.9577, 0.5000)
S (0.7816, 0.4577, 0.5000)
S (0.8665, 0.2011, 0.0000)

Values from the calculation:
N(E_F): 6.1 states/eV/cell
Energy above the most stable polymorph in this dataset: 96.6 meV per atom
Final energy: -3.48 eV per atom

---

# 11
The following is a PBE calculation of a geometry-optimized AgTe2S structure, from the Alexandria database.

a = 7.5254 Å, b = 7.5254 Å, c = 7.5254 Å
α = 30.89°, β = 30.89°, γ = 30.89°
Element x y z (fractional)
Ag (0.0000, 0.0000, 0.0000)
Te (0.5830, 0.5830, 0.5830)
Te (0.7484, 0.7484, 0.7484)
S (0.1713, 0.1713, 0.1713)

Values from the calculation:
N(E_F): 2.6 states/eV/cell
Final energy: -3.07 eV per atom

---

# 12
The following is a PBE calculation of a geometry-optimized Ag4TeS2 structure, from the Alexandria database.

a = 7.8363 Å, b = 7.8363 Å, c = 7.8363 Å
α = 119.95°, β = 119.95°, γ = 90.09°
Element x y z (fractional)
Ag (0.2659, 0.2988, 0.5328)
Ag (0.2659, 0.7331, 0.9672)
Ag (0.2669, 0.7341, 0.5328)
Ag (0.2988, 0.2659, 0.0328)
Ag (0.7012, 0.7341, 0.9672)
Ag (0.7331, 0.2659, 0.4672)
Ag (0.7341, 0.2669, 0.0328)
Ag (0.7341, 0.7012, 0.4672)
Te (0.1250, 0.8750, 0.2500)
Te (0.8750, 0.1250, 0.7500)
S (0.0000, 0.5000, 0.5000)
S (0.5000, 0.0000, 0.0000)
S (0.5000, 0.5000, 0.0000)
S (0.5000, 0.5000, 0.5000)

Values from the calculation:
N(E_F): 9.2 states/eV/cell
Energy above the most stable polymorph in this dataset: 0.0 meV per atom
Final energy: -3.17 eV per atom

---

Which value of N(E_F) does entry 2 give? 6.6 states/eV/cell

---

The lowest final energy belongs to which entry? AgTe3S6

---

The lowest final energy belongs to which entry? AgTe3S6

---

Which formula does entry 4 have? AgTeS2